The following is a DFT calculation (GGA-PBE) of a relaxed structure of Ca4HgAu.

## Properties
Energy relative to the lowest polymorph listed for this composition: 0.0 meV per atom
Fermi-level density of states: 8.72 states/eV/cell

a = 6.505 Å, b = 6.977 Å, c = 8.932 Å
α = 90.00°, β = 110.08°, γ = 90.00°
Atoms (fractional coordinates):
Ca1 0.998 0.500 0.720
Ca2 0.403 0.750 0.097
Hg1 0.822 0.750 0.959
Ca3 0.002 0.000 0.280
Hg2 0.178 0.250 0.041
Ca4 0.998 0.000 0.720
Ca5 0.597 0.250 0.903
Ca6 0.557 0.250 0.383
Au1 0.255 0.250 0.569
Ca7 0.002 0.500 0.280
Ca8 0.443 0.750 0.617
Au2 0.745 0.750 0.431